! BeTe2Pt, relaxed, DFT PBE; values from VASP
&SYSTEM
  ibrav = 0, nat = 4, ntyp = 3
/
ATOMIC_SPECIES
Be 9.01 Be.upf
Te 127.60 Te.upf
Pt 195.08 Pt.upf
CELL_PARAMETERS angstrom
2.965 -3.832 0.000
2.965 3.832 0.000
-2.956 0.000 3.833
ATOMIC_POSITIONS angstrom
Be 0.000 0.000 0.000
Te 0.004 1.916 1.917
Te 0.004 -1.916 1.917
Pt 2.965 0.000 0.000
! ΔE_f (raw)	0.167	eV/atom
! M_tot	0.00	Bohr magnetons per cell